The following is a GGA+U calculation of Rb2ErVO4 after structural relaxation, from the Alexandria database.

The structure in POSCAR format:
```
Rb2ErVO4
1.0
-4.219 3.739 1.243
-6.463 -2.154 -2.056
-3.579 -3.033 10.377
O Rb V Er
8 4 2 2
direct
0.531 0.320 0.575 O
0.219 0.180 0.925 O
0.602 0.180 0.075 O
0.148 0.320 0.425 O
0.427 0.680 0.425 O
0.894 0.680 0.575 O
0.323 0.820 0.075 O
0.856 0.820 0.925 O
0.810 0.000 0.379 Rb
0.940 0.500 0.121 Rb
0.190 0.000 0.621 Rb
0.560 0.500 0.879 Rb
0.500 0.000 0.000 V
0.250 0.500 0.500 V
0.000 0.000 0.000 Er
0.750 0.500 0.500 Er
```

Output
raw total energy: -6.1469 eV per atom
DOS at the Fermi energy: 1.299 states/eV/cell
SG: Fddd, No. 70